{
  "formula": "AcTbMg2Cd4",
  "functional": "PBE",
  "state": "relaxed",
  "formation_energy_ev_per_atom": -0.28,
  "cell": [[2.613, 1.509, 8.710], [-2.613, 1.509, 8.710], [0.000, -3.017, 8.710]],
  "species": ["Ac", "Tb", "Mg", "Mg", "Cd", "Cd", "Cd", "Cd"],
  "frac_coords": [[0.000, 0.000, 0.000], [0.500, 0.500, 0.500], [0.247, 0.247, 0.247], [0.753, 0.753, 0.753], [0.129, 0.129, 0.129], [0.382, 0.382, 0.382], [0.618, 0.618, 0.618], [0.871, 0.871, 0.871]]
}

{
  "formula": "AcThMg5Cd2",
  "functional": "PBE",
  "state": "relaxed",
  "formation_energy_ev_per_atom": 0.03,
  "cell": [[4.757, 0.000, 0.000], [0.000, 4.757, 0.000], [0.000, 0.000, 10.861]],
  "species": ["Ac", "Th", "Mg", "Mg", "Mg", "Mg", "Mg", "Cd", "Cd"],
  "frac_coords": [[0.000, 0.000, 0.000], [0.000, 0.000, 0.500], [0.000, 0.500, 0.238], [0.000, 0.500, 0.762], [0.500, 0.000, 0.238], [0.500, 0.000, 0.762], [0.500, 0.500, 0.000], [0.500, 0.500, 0.377], [0.500, 0.500, 0.623]]
}